(1)
! TlSiAu2 | Alexandria | PBE | optimized geometry; values from VASP
! Total magnetization: 0.000 μB per atom
! Symmetry: No. 139
! DOS(E_F): 0.4064 states/eV/atom
! Polymorph energy (0 for the lowest one): 1.44 eV per formula unit
! E_form (uncorrected): 0.328 eV/atom
&SYSTEM
  ibrav = 0, nat = 4, ntyp = 3
/
ATOMIC_SPECIES
Au 196.97 Au.upf
Si 28.09 Si.upf
Tl 204.38 Tl.upf
CELL_PARAMETERS angstrom
-4.4399 0.2959 -2.3734
-2.2619 -4.1123 1.8454
2.1590 3.6626 2.7125
ATOMIC_POSITIONS angstrom
Au 0.0000 0.0000 0.0000
Au -3.3509 -1.9082 -0.2640
Si -1.7269 -1.1790 2.1470
Tl -2.8159 1.0251 0.0375

(2)
! CdReP2 | Alexandria | PBE | optimized geometry; values from VASP
! Total magnetization: 0.000 μB per atom
! Symmetry: No. 99
! DOS(E_F): 0.7236 states/eV/atom
! Total energy: -5.878 eV per atom
&SYSTEM
  ibrav = 0, nat = 4, ntyp = 3
/
ATOMIC_SPECIES
P 30.97 P.upf
Cd 112.41 Cd.upf
Re 186.21 Re.upf
CELL_PARAMETERS angstrom
3.1075 0.0000 0.0000
0.0000 3.1076 0.0000
0.0000 0.0000 7.7200
ATOMIC_POSITIONS angstrom
P 0.0000 0.0000 0.0478
P 1.5538 1.5538 3.3122
Cd 1.5538 1.5538 5.9307
Re 0.0000 0.0000 2.2893

(3)
! Tl3AsPd3 | Alexandria | PBE | optimized geometry; values from VASP
! Total magnetization: 0.000 μB per atom
! Symmetry: No. 12
! DOS(E_F): 0.4007 states/eV/atom
! Total energy: -4.023 eV per atom
&SYSTEM
  ibrav = 0, nat = 14, ntyp = 3
/
ATOMIC_SPECIES
Pd 106.42 Pd.upf
Tl 204.38 Tl.upf
As 74.92 As.upf
CELL_PARAMETERS angstrom
-5.3958 -3.4562 2.9092
5.5819 -0.9110 4.1876
-1.7026 5.6763 3.3195
ATOMIC_POSITIONS angstrom
Pd -2.7491 0.3732 6.5565
Pd -2.3259 0.1109 3.4453
Pd 0.8093 1.1982 6.9709
Pd 1.2325 0.9359 3.8597
Pd -0.1055 -3.0440 6.9659
Pd -1.4111 4.3530 3.4503
Tl -2.6071 -2.8096 3.2339
Tl -0.4014 -0.9468 5.3317
Tl -4.7087 -0.2614 4.7481
Tl -1.1152 2.2558 5.0846
Tl 3.1921 1.5704 5.6682
Tl 2.7931 -1.5576 3.8628
As -1.2458 1.1849 8.3382
As -0.2708 0.1242 2.0780

(4)
! Sm2AuS | Alexandria | PBE | optimized geometry; values from VASP
! Total magnetization: 0.000 μB per atom
! Symmetry: No. 63
! DOS(E_F): 0.5900 states/eV/atom
! Polymorph energy (0 for the lowest one): 0.00 eV per formula unit
! E_form (uncorrected): -1.403 eV/atom
&SYSTEM
  ibrav = 0, nat = 8, ntyp = 3
/
ATOMIC_SPECIES
Au 196.97 Au.upf
S 32.06 S.upf
Sm 150.36 Sm.upf
CELL_PARAMETERS angstrom
4.2040 0.0000 0.0000
0.0000 3.9446 -0.7006
0.0000 0.0662 11.8278
ATOMIC_POSITIONS angstrom
Au 3.1530 2.1551 0.6792
Au 1.0510 1.8557 10.4480
S 3.1530 3.2287 6.7236
S 1.0510 0.7821 4.4036
Sm 1.0510 0.2931 1.6500
Sm 1.0510 1.2699 7.1498
Sm 3.1530 3.7178 9.4772
Sm 3.1530 2.7409 3.9774

(5)
! YSc2Fe | Alexandria | PBE | optimized geometry; values from VASP
! Total magnetization: 0.000 μB per atom
! Symmetry: No. 225
! DOS(E_F): 1.0986 states/eV/atom
! Polymorph energy (0 for the lowest one): 1.45 eV per formula unit
&SYSTEM
  ibrav = 0, nat = 4, ntyp = 3
/
ATOMIC_SPECIES
Fe 55.84 Fe.upf
Sc 44.96 Sc.upf
Y 88.91 Y.upf
CELL_PARAMETERS angstrom
-2.3190 -1.3895 4.0610
-0.3196 3.0524 3.7922
-4.2934 2.0030 1.1640
ATOMIC_POSITIONS angstrom
Fe 0.0000 0.0000 0.0000
Sc -1.7330 0.9165 2.2543
Sc -5.1989 2.7495 6.7629
Y -3.4660 1.8330 4.5086

(6)
! NpAu3 | Alexandria | PBE | optimized geometry; values from VASP
! Total magnetization: 1.184 μB per atom
! Symmetry: No. 72
! DOS(E_F): 1.4974 states/eV/atom
! Total energy: -5.657 eV per atom
&SYSTEM
  ibrav = 0, nat = 8, ntyp = 2
/
ATOMIC_SPECIES
Np 237.00 Np.upf
Au 196.97 Au.upf
CELL_PARAMETERS angstrom
-2.7549 4.7746 -2.7008
-4.6466 -3.5054 -1.9494
1.9556 0.1274 6.3167
ATOMIC_POSITIONS angstrom
Np -4.0838 1.0474 1.2489
Np -1.3620 0.3491 0.4175
Au -2.7368 2.7401 -0.9306
Au -5.0636 0.9850 -1.9101
Au -2.7091 -1.3436 2.5970
Au -1.7597 2.7944 2.2325
Au -3.6862 -1.3979 -0.5660
Au -0.3823 0.4115 3.5766

(7)
! SbCl | Alexandria | PBE | optimized geometry; values from VASP
! Total magnetization: 0.000 μB per atom
! Symmetry: No. 2
! Polymorph energy (0 for the lowest one): 0.02 eV per formula unit
! E_form (uncorrected): -0.467 eV/atom
&SYSTEM
  ibrav = 0, nat = 4, ntyp = 2
/
ATOMIC_SPECIES
Cl 35.45 Cl.upf
Sb 121.76 Sb.upf
CELL_PARAMETERS angstrom
-2.8961 1.7488 -2.4286
-5.1576 -3.0424 0.4808
-2.7488 2.4820 5.0651
ATOMIC_POSITIONS angstrom
Cl -4.3200 1.3287 -0.9844
Cl -6.4825 -0.1404 4.1017
Sb -4.7365 0.9557 2.8118
Sb -6.0660 0.2327 0.3055

(8)
! LaGeOs2 | Alexandria | PBE | optimized geometry; values from VASP
! Total magnetization: 0.000 μB per atom
! Symmetry: No. 122
! DOS(E_F): 0.8542 states/eV/atom
! Total energy: -7.797 eV per atom
&SYSTEM
  ibrav = 0, nat = 8, ntyp = 3
/
ATOMIC_SPECIES
Os 190.23 Os.upf
La 138.91 La.upf
Ge 72.64 Ge.upf
CELL_PARAMETERS angstrom
4.6863 0.0000 0.0000
0.0000 4.6863 0.0000
2.3432 2.3432 8.5763
ATOMIC_POSITIONS angstrom
Os 2.7403 1.1716 2.1441
Os 3.5147 4.2892 6.4322
Os 1.9460 3.5147 2.1441
Os 5.8579 5.0834 6.4322
La 0.0000 0.0000 0.0000
La 4.6863 2.3432 4.2881
Ge 2.3432 2.3432 0.0000
Ge 2.3432 4.6863 4.2881

(9)
! Sr2PPt | Alexandria | PBE | optimized geometry; values from VASP
! Total magnetization: 0.000 μB per atom
! Symmetry: No. 11
! DOS(E_F): 0.5742 states/eV/atom
! Total energy: -4.620 eV per atom
&SYSTEM
  ibrav = 0, nat = 8, ntyp = 3
/
ATOMIC_SPECIES
Sr 87.62 Sr.upf
P 30.97 P.upf
Pt 195.08 Pt.upf
CELL_PARAMETERS angstrom
4.4277 0.0000 0.0000
0.0000 5.8214 -0.2473
0.0000 -3.2307 8.4603
ATOMIC_POSITIONS angstrom
Sr 1.1069 4.3456 0.5183
Sr 1.1069 2.7523 4.5555
Sr 3.3207 -1.7549 7.6947
Sr 3.3207 -0.1616 3.6575
P 1.1069 1.5440 1.7235
P 3.3207 1.0467 6.4895
Pt 1.1069 0.0799 6.0781
Pt 3.3207 2.5108 2.1349

(10)
! GdLuGaPd | Alexandria | PBE | optimized geometry; values from VASP
! Total magnetization: 1.796 μB per atom
! Symmetry: No. 216
! DOS(E_F): 0.7966 states/eV/atom
! Total energy: -7.412 eV per atom
&SYSTEM
  ibrav = 0, nat = 4, ntyp = 4
/
ATOMIC_SPECIES
Pd 106.42 Pd.upf
Ga 69.72 Ga.upf
Lu 174.97 Lu.upf
Gd 157.25 Gd.upf
CELL_PARAMETERS angstrom
-3.6115 2.8774 -1.9112
-4.7688 -0.8120 1.2549
-2.4050 3.2629 2.9231
ATOMIC_POSITIONS angstrom
Pd 0.0000 0.0000 0.0000
Ga -5.3926 2.6642 1.1334
Lu -2.6963 1.3321 0.5667
Gd -8.0889 3.9963 1.7001

(11)
! CeTl4 | Alexandria | PBE | optimized geometry; values from VASP
! Total magnetization: 0.329 μB per atom
! Symmetry: No. 221
! DOS(E_F): 2.5608 states/eV/atom
! Polymorph energy (0 for the lowest one): 3.28 eV per formula unit
&SYSTEM
  ibrav = 0, nat = 5, ntyp = 2
/
ATOMIC_SPECIES
Ce 140.12 Ce.upf
Tl 204.38 Tl.upf
CELL_PARAMETERS angstrom
-1.5596 -2.2709 5.4349
-4.2682 -3.4388 -2.6617
4.0592 -4.4884 -0.7106
ATOMIC_POSITIONS angstrom
Ce -0.8843 -5.0990 1.0313
Tl 1.2498 -3.3797 2.3622
Tl -0.1045 -3.9636 -1.6861
Tl -2.9139 -2.8549 1.3866
Tl 0.0000 0.0000 0.0000

(12)
! BaNiAgP | Alexandria | PBE | optimized geometry; values from VASP
! Total magnetization: 0.000 μB per atom
! Symmetry: No. 129
! DOS(E_F): 0.4784 states/eV/atom
! Total energy: -4.554 eV per atom
&SYSTEM
  ibrav = 0, nat = 8, ntyp = 4
/
ATOMIC_SPECIES
Ni 58.69 Ni.upf
Ba 137.33 Ba.upf
Ag 107.87 Ag.upf
P 30.97 P.upf
CELL_PARAMETERS angstrom
3.9508 0.0000 0.0000
0.0000 3.9508 0.0000
0.0000 0.0000 11.7177
ATOMIC_POSITIONS angstrom
Ni 0.9877 2.9631 0.0000
Ni 2.9631 0.9877 0.0000
Ba 0.9877 0.9877 8.8918
Ba 2.9631 2.9631 2.8259
Ag 2.9631 0.9877 5.8589
Ag 0.9877 2.9631 5.8589
P 2.9631 2.9631 10.5830
P 0.9877 0.9877 1.1348